Compound: Ba4Te2AsBr
Source: Alexandria via LeMat-Bulk
Functional: PBE
Structure: optimized geometry

The value obtained for the total energy is -4.20 eV/atom. The raw formation energy is -13.3 eV/f.u. The value obtained for the magnetization is 0.00 μB per cell. Its calculated volume is 335 Å³/cell.

The space group is P2/m (No. 10) and the conventional cell measures 8.4750, 4.9152 and 8.4890 Å, with angles of 90.00, 108.85 and 90.00 degrees. The inequivalent atoms are Ba at (0.2350, 0.0000, 0.2334), Ba at (0.2450, 0.5000, 0.7673), Te at (0.5000, 0.0000, 0.0000), Te at (0.5000, 0.5000, 0.5000), As at (0.0000, 0.5000, 0.0000) and Br at (0.0000, 0.0000, 0.5000).